[1]
# Pm2As4Pd3Au

Pm2As4Pd3Au after structural relaxation (PBE, the Alexandria database).

a b c (Å): 4.4717 4.4717 10.0191
angles (deg): 90.00 90.00 90.00
Closest atoms and distances in Å follow each position.
Positions (direct):
As  0.5000  0.5000  0.0000  4 Pd 2.53
As  0.0000  0.5000  0.3627  3 Pd 2.44-2.62, 2 Au 2.62
As  0.0000  0.0000  0.0000  4 Pd 2.53
As  0.5000  0.0000  0.6373  3 Pd 2.44-2.62, 2 Au 2.62
Au  0.5000  0.5000  0.5000  4 As 2.62
Pd  0.0000  0.5000  0.1191  5 As 2.44-2.53
Pd  0.5000  0.0000  0.8809  5 As 2.44-2.53
Pd  0.0000  0.0000  0.5000  4 As 2.62
Pm  0.5000  0.0000  0.2431  8 As 3.31-3.38, 7 Pd 3.40-3.63, 2 Au 3.41
Pm  0.0000  0.5000  0.7569  8 As 3.31-3.38, 7 Pd 3.40-3.63, 2 Au 3.41

Calculated values
space-group type = No. 115
formation energy = -17.64 kcal/mol of atoms



[2]
# PmAsPdAu

PmAsPdAu after structural relaxation (PBE, the Alexandria database).

a b c (Å): 4.8862 4.8862 4.8862
angles (deg): 60.00 60.00 60.00
Closest atoms and distances in Å follow each position.
Positions (direct):
Pm  0.7500  0.7500  0.7500  4 Pd 2.99, 4 Au 2.99
Au  0.0000  0.0000  0.0000  4 As 2.99, 4 Pm 2.99
Pd  0.5000  0.5000  0.5000  4 Pm 2.99, 4 As 2.99
As  0.2500  0.2500  0.2500  4 Au 2.99, 4 Pd 2.99

Calculated values
space-group type = No. 216
formation energy = -13.19 kcal/mol of atoms



[3]
# PuAsPdAu

PuAsPdAu after structural relaxation (PBE, the Alexandria database).

a b c (Å): 4.8203 4.8203 4.8203
angles (deg): 60.00 60.00 60.00
Closest atoms and distances in Å follow each position.
Positions (direct):
Pd  0.7500  0.7500  0.7500  4 As 2.95, 4 Au 2.95
As  0.5000  0.5000  0.5000  4 Pu 2.95, 4 Pd 2.95
Au  0.0000  0.0000  0.0000  4 Pd 2.95, 4 Pu 2.95
Pu  0.2500  0.2500  0.2500  4 As 2.95, 4 Au 2.95

Calculated values
space-group type = No. 216
formation energy = -10.25 kcal/mol of atoms



[4]
# PuAs2Pd5Au

PuAs2Pd5Au after structural relaxation (PBE, the Alexandria database).

a b c (Å): 4.6570 4.6570 7.6476
angles (deg): 90.00 90.00 90.00
Closest atoms and distances in Å follow each position.
Positions (direct):
Pd  0.5000  0.5000  0.5000  2 As 2.59
Pd  0.5000  0.0000  0.2608  2 As 2.45
Pd  0.5000  0.0000  0.7392  2 As 2.45
Pd  0.0000  0.5000  0.7392  2 As 2.45
Pd  0.0000  0.5000  0.2608  2 As 2.45
Au  0.0000  0.0000  0.0000  8 Pd 3.07
As  0.5000  0.5000  0.8389  5 Pd 2.45-2.59, 1 As 2.46
As  0.5000  0.5000  0.1611  5 Pd 2.45-2.59, 1 As 2.46
Pu  0.0000  0.0000  0.5000  12 Pd 2.96-3.29

Calculated values
space-group type = No. 123
formation energy = -7.00 kcal/mol of atoms



[5]
# Pu2As4Pd3Au

Pu2As4Pd3Au after structural relaxation (PBE, the Alexandria database).

a b c (Å): 4.4534 4.4534 9.9986
angles (deg): 90.00 90.00 90.00
Closest atoms and distances in Å follow each position.
Positions (direct):
Au  0.5000  0.5000  0.5000  4 As 2.63
As  0.0000  0.0000  0.0000  4 Pd 2.52
As  0.5000  0.5000  0.0000  4 Pd 2.52
As  0.5000  0.0000  0.6405  3 Pd 2.42-2.63, 2 Au 2.63
As  0.0000  0.5000  0.3595  3 Pd 2.42-2.63, 2 Au 2.63
Pd  0.0000  0.5000  0.1172  5 As 2.42-2.52
Pd  0.0000  0.0000  0.5000  4 As 2.63
Pd  0.5000  0.0000  0.8828  5 As 2.42-2.52
Pu  0.5000  0.0000  0.2402  8 As 3.28-3.37, 7 Pd 3.38-3.57, 2 Au 3.42
Pu  0.0000  0.5000  0.7598  8 As 3.28-3.37, 7 Pd 3.38-3.57, 2 Au 3.42

Calculated values
space-group type = No. 115
formation energy = -12.85 kcal/mol of atoms



[6]
# Pu3As2Pd9Au

Pu3As2Pd9Au after structural relaxation (PBE, the Alexandria database).

a b c (Å): 5.6750 5.6750 9.7372
angles (deg): 90.00 90.00 120.00
Closest atoms and distances in Å follow each position.
Positions (direct):
Pd  0.8320  0.1680  0.2642  6 Pd 2.81-3.05, 1 Au 2.83, 2 As 2.91, 2 Pu 2.99-3.06
Pd  0.1680  0.3360  0.7358  6 Pd 2.81-3.05, 1 Au 2.83, 2 As 2.91, 2 Pu 2.99-3.06
Pd  0.3360  0.1680  0.2642  6 Pd 2.81-3.05, 1 Au 2.83, 2 As 2.91, 2 Pu 2.99-3.06
Pd  0.1680  0.8320  0.7358  6 Pd 2.81-3.05, 1 Au 2.83, 2 As 2.91, 2 Pu 2.99-3.06
Pd  0.6640  0.8320  0.7358  6 Pd 2.81-3.05, 1 Au 2.83, 2 As 2.91, 2 Pu 2.99-3.06
Pd  0.8320  0.6640  0.2642  6 Pd 2.81-3.05, 1 Au 2.83, 2 As 2.91, 2 Pu 2.99-3.06
Pd  0.5000  0.5000  0.0000  2 As 2.53
Pd  0.0000  0.5000  0.0000  2 As 2.53
Pd  0.5000  0.0000  0.0000  2 As 2.53
Pu  0.6667  0.3333  0.5225  1 As 2.72, 3 Pd 2.99
Pu  0.0000  0.0000  0.0000  12 Pd 2.84-3.06
Pu  0.3333  0.6667  0.4775  1 As 2.72, 3 Pd 2.99
As  0.3333  0.6667  0.1981  3 Pd 2.53, 1 Pu 2.72
As  0.6667  0.3333  0.8019  3 Pd 2.53, 1 Pu 2.72
Au  0.0000  0.0000  0.5000  6 Pd 2.83

Calculated values
space-group type = No. 164
formation energy = -9.51 kcal/mol of atoms



[7]
# RbAsPdAu

RbAsPdAu after structural relaxation (PBE, the Alexandria database).

a b c (Å): 4.1634 4.1634 12.5354
angles (deg): 90.00 90.00 90.00
Closest atoms and distances in Å follow each position.
Positions (direct):
Au  0.7500  0.2500  0.5000  4 Au 2.94
Au  0.2500  0.7500  0.5000  4 Au 2.94
As  0.7500  0.7500  0.8916  4 Pd 2.49
As  0.2500  0.2500  0.1084  4 Pd 2.49
Pd  0.2500  0.7500  0.0000  4 As 2.49
Pd  0.7500  0.2500  0.0000  4 As 2.49
Rb  0.7500  0.7500  0.2718  4 Au 3.54, 4 As 3.59
Rb  0.2500  0.2500  0.7282  4 Au 3.54, 4 As 3.59

Calculated values
space-group type = No. 129
formation energy = -6.80 kcal/mol of atoms



[8]
# Rb2As2Pd2Au

Rb2As2Pd2Au after structural relaxation (PBE, the Alexandria database).

a b c (Å): 4.6296 6.8755 7.6430
angles (deg): 73.71 72.37 70.33
Closest atoms and distances in Å follow each position.
Positions (direct):
Rb  0.5560  0.2098  0.6783  2 Au 3.38, 2 As 3.58, 1 Pd 3.63
Rb  0.4440  0.7902  0.3217  2 Au 3.38, 2 As 3.58, 1 Pd 3.63
Au  0.0000  0.0000  0.0000  2 As 2.49
As  0.7653  0.2924  0.1769  3 Pd 2.48-2.49, 1 Au 2.49
As  0.2347  0.7076  0.8231  3 Pd 2.48-2.49, 1 Au 2.49
Pd  0.2382  0.4186  0.1051  3 As 2.48-2.49
Pd  0.7618  0.5814  0.8949  3 As 2.48-2.49

Calculated values
space-group type = No. 12
formation energy = -10.30 kcal/mol of atoms